No. 1
La8Zn3SeI4 (PBE, relaxed); raw formation energy = -851 meV/atom
1.0
-0.3707 6.7790 5.5566
-8.7347 -2.3522 2.2870
6.2737 -6.0671 0.8944
La Zn Se I
8 3 1 4
Cartesian
-0.1956 -6.0213 3.8264 La
-3.3716 -2.9497 3.3736 La
0.7127 -2.0576 2.5579 La
-0.3832 -2.5892 6.6396 La
-2.4484 0.9489 2.0984 La
-3.5443 0.4174 6.1802 La
0.5400 1.3094 5.3644 La
-2.6361 4.3811 4.9116 La
-4.5527 2.2134 3.9218 Zn
-1.4158 -0.8201 4.3690 Zn
-1.2305 -4.2096 1.5907 Zn
-4.3673 -1.1761 1.1435 Se
-0.1853 3.3895 2.7783 I
2.9515 0.3560 3.2255 I
0.0000 0.0000 0.0000 I
3.1369 -3.0335 0.4472 I

***

No. 2
LaSi2I (PBE, relaxed); raw formation energy = 354 meV/atom; energy above the most stable polymorph in this dataset = 0.076 eV/atom
1.0
0.0000 3.7119 3.7119
3.7119 0.0000 3.7119
3.7119 3.7119 0.0000
I Si La
1 2 1
Cartesian
0.0000 0.0000 0.0000 I
1.8559 1.8559 1.8559 Si
5.5678 5.5678 5.5678 Si
3.7119 3.7119 3.7119 La

***

No. 3
La3SiI2 (PBE, relaxed); raw formation energy = -1033 meV/atom
1.0
-0.4580 6.4421 -4.3733
-4.1102 -0.0624 -6.6168
-6.4141 4.3151 2.4212
La Si I
6 2 4
Cartesian
-7.9035 6.1398 -4.2018 La
-1.4375 2.7570 -0.7840 La
-3.0788 4.5550 -4.3671 La
-4.3995 6.8524 -7.7999 La
-6.5828 3.8423 -0.7690 La
-5.4345 8.0001 -1.1681 La
-3.0366 4.2606 -7.3166 Si
-1.5316 2.1190 -3.6735 Si
0.0000 0.0000 0.0000 I
-3.4360 5.3786 -0.9761 I
-6.0839 3.1385 -3.9984 I
-4.8983 7.5562 -4.5705 I

***

No. 4
La3SiI (PBE, relaxed); raw formation energy = 240 meV/atom; energy above the most stable polymorph in this dataset = 0.722 eV/atom
1.0
-2.1819 -3.2683 4.3273
0.0701 -4.6810 -3.5001
5.4224 -1.2546 1.7865
I Si La
1 1 3
Cartesian
0.0000 0.0000 0.0000 I
1.6553 -4.6019 1.3068 Si
0.0351 -2.3405 -1.7500 La
2.7112 -0.6273 0.8932 La
-1.0909 -1.6341 2.1636 La

***

No. 5
La2SiI (PBE, relaxed); raw formation energy = -565 meV/atom; energy above the most stable polymorph in this dataset = 0.452 eV/atom
1.0
-0.5128 -4.4153 -6.9667
3.7123 -6.3567 3.7555
-1.9213 -6.7707 -0.4689
I Si La
2 2 4
Cartesian
0.0000 0.0000 0.0000 I
-0.4172 -8.2860 -4.5206 I
1.5998 -5.3860 -1.6056 Si
1.6954 -9.2567 0.8405 Si
-0.3220 -5.1196 -3.8012 La
1.7610 -6.3448 1.1583 La
-0.1342 -9.3008 -1.4476 La
1.2516 -14.3204 -3.2697 La

***

No. 6
La2SiI (PBE, relaxed); raw formation energy = -730 meV/atom; energy above the most stable polymorph in this dataset = 0.287 eV/atom
1.0
-3.0580 -3.7931 -2.4525
-5.0257 1.2411 -1.7189
-1.0415 0.3712 -5.3414
I Si La
1 1 2
Cartesian
-4.5626 -1.0904 -4.7564 I
0.0000 0.0000 0.0000 Si
-2.2813 -0.5452 -2.3782 La
-6.8439 -1.6356 -7.1346 La

***

Copy entry 5 word for word.
La2SiI (PBE, relaxed); raw formation energy = -565 meV/atom; energy above the most stable polymorph in this dataset = 0.452 eV/atom
1.0
-0.5128 -4.4153 -6.9667
3.7123 -6.3567 3.7555
-1.9213 -6.7707 -0.4689
I Si La
2 2 4
Cartesian
0.0000 0.0000 0.0000 I
-0.4172 -8.2860 -4.5206 I
1.5998 -5.3860 -1.6056 Si
1.6954 -9.2567 0.8405 Si
-0.3220 -5.1196 -3.8012 La
1.7610 -6.3448 1.1583 La
-0.1342 -9.3008 -1.4476 La
1.2516 -14.3204 -3.2697 La

***

- Which of these has the lowest raw formation energy?
  La3SiI2